The following is a DFT calculation (PBE-GGA) of an optimized crystal structure of ZrTa2Cd.

Cell: 2.9355 4.6561 6.0151 Å, 90.00 103.14 90.00°
With the nearest neighbours (Å) after each atom.
Atoms (fractional coordinates):
1 Zr 0.0000 0.0000 0.0000  4 Ta 2.88-3.19, 2 Zr 2.94, 2 Cd 3.13
2 Ta 0.1317 0.0000 0.5404  4 Ta 2.79-2.94, 1 Zr 2.88, 2 Cd 3.06
3 Ta 0.5234 0.5000 0.7601  4 Ta 2.79-2.94, 2 Zr 2.92, 2 Cd 2.95-3.07
4 Cd 0.5806 0.5000 0.2763  2 Cd 2.94, 6 Ta 2.95-3.26, 4 Zr 3.13-3.26

Summary:
Raw total energy: -8.1186 eV per atom
E_form: 0.174 eV per atom
Magnetization: 0.00 μB/f.u.
N(E_F): 0.9127 states/eV per atom